Entry 1:
Compound: Sm2GaNi12B3
Source: the Alexandria database
Functional: PBE-GGA
Structure: optimized geometry

abc: 6.780 6.780 6.780
angles: 64.05 64.05 64.05
Fractional positions:
Ni 0.591 0.133 0.133
Ni 0.277 0.883 0.277
Ni 0.133 0.133 0.591
Ni 0.723 0.723 0.117
Ni 0.867 0.409 0.867
Ni 0.133 0.591 0.133
Ni 0.117 0.723 0.723
Ni 0.867 0.867 0.409
Ni 0.409 0.867 0.867
Ni 0.723 0.117 0.723
Ni 0.883 0.277 0.277
Ni 0.277 0.277 0.883
B 0.500 0.000 0.000
B 0.000 0.000 0.500
B 0.000 0.500 0.000
Sm 0.402 0.402 0.402
Sm 0.598 0.598 0.598
Ga 0.000 0.000 0.000

Energy relative to the elements ... -87.1 meV/atom
Theoretical density ... 7658 kg/m3



Entry 2:
Compound: GaMoAs3
Source: the Alexandria database
Functional: PBE-GGA
Structure: optimized geometry

abc: 4.759 4.759 4.759
angles: 90.00 90.00 90.00
Fractional positions:
As 0.000 0.000 0.500
As 0.500 0.000 0.000
As 0.000 0.500 0.000
Ga 0.000 0.000 0.000
Mo 0.500 0.500 0.500

Energy relative to the elements ... 1319.1 meV/atom
Excess energy over the best structure of this formula in the dataset ... 4.75 eV per formula unit
Theoretical density ... 6015 kg/m3



Entry 3:
Compound: Na2Mg2In15
Source: the Alexandria database
Functional: PBE-GGA
Structure: optimized geometry

abc: 8.367 8.367 8.367
angles: 74.59 74.59 74.59
Fractional positions:
Mg 0.901 0.901 0.901
Mg 0.099 0.099 0.099
In 0.608 0.157 0.608
In 0.000 0.708 0.292
In 0.708 0.292 0.000
In 0.000 0.292 0.708
In 0.000 0.500 0.000
In 0.392 0.843 0.392
In 0.292 0.000 0.708
In 0.292 0.708 0.000
In 0.500 0.000 0.000
In 0.843 0.392 0.392
In 0.392 0.392 0.843
In 0.708 0.000 0.292
In 0.157 0.608 0.608
In 0.608 0.608 0.157
In 0.000 0.000 0.500
Na 0.309 0.309 0.309
Na 0.691 0.691 0.691

Energy relative to the elements ... 7.8 meV/atom
Theoretical density ... 5669 kg/m3



Entry 4:
Compound: LiEuGdNi
Source: the Alexandria database
Functional: PBE-GGA
Structure: optimized geometry

abc: 5.053 5.053 5.053
angles: 60.00 60.00 60.00
Fractional positions:
Gd 0.750 0.750 0.750
Eu 0.250 0.250 0.250
Li 0.500 0.500 0.500
Ni 0.000 0.000 0.000

Energy relative to the elements ... -19.5 meV/atom
Theoretical density ... 6825 kg/m3



Entry 5:
Compound: KMgInHg3
Source: the Alexandria database
Functional: PBE-GGA
Structure: optimized geometry

abc: 7.025 7.324 8.055
angles: 117.04 90.00 90.00
Fractional positions:
Hg 0.250 0.160 0.320
Hg 0.500 0.710 0.000
Hg 0.750 0.840 0.680
Hg 0.500 0.290 0.000
Hg 0.000 0.710 0.000
Hg 0.000 0.290 0.000
K 0.750 0.294 0.587
K 0.250 0.706 0.413
Mg 0.750 0.044 0.087
Mg 0.250 0.956 0.913
In 0.250 0.367 0.733
In 0.750 0.633 0.267

Energy relative to the elements ... -92.4 meV/atom
Theoretical density ... 7017 kg/m3



Entry 6:
Compound: Fe5Ir6W
Source: the Alexandria database
Functional: PBE-GGA
Structure: optimized geometry

abc: 3.828 7.374 7.088
angles: 121.34 105.67 90.00
Fractional positions:
Ir 0.831 0.083 0.663
Ir 0.500 0.255 0.000
Ir 0.169 0.420 0.337
Ir 0.169 0.917 0.337
Ir 0.500 0.745 0.000
Ir 0.831 0.580 0.663
W 0.000 0.000 0.000
Fe 0.665 0.165 0.329
Fe 0.000 0.500 0.000
Fe 0.331 0.331 0.663
Fe 0.669 0.669 0.337
Fe 0.335 0.835 0.671

Energy relative to the elements ... -100.3 meV/atom
Theoretical density ... 16555 kg/m3



Entry 7:
Compound: Pt2NO
Source: the Alexandria database
Functional: PBE-GGA
Structure: optimized geometry

abc: 4.006 4.006 4.006
angles: 60.00 60.00 60.00
Fractional positions:
Pt 0.750 0.750 0.750
Pt 0.250 0.250 0.250
N 0.000 0.000 0.000
O 0.500 0.500 0.500

Excess energy over the best structure of this formula in the dataset ... 2.57 eV per formula unit
Theoretical density ... 15345 kg/m3
ΔE_f (raw) ... 1258 meV per atom



Entry 8:
Compound: Cr2BH
Source: the Alexandria database
Functional: PBE-GGA
Structure: optimized geometry

abc: 2.933 2.933 5.629
angles: 74.90 74.90 60.00
Fractional positions:
Cr 0.101 0.101 0.697
Cr 0.899 0.899 0.303
H 0.000 0.000 0.000
B 0.500 0.500 0.500

Excess energy over the best structure of this formula in the dataset ... 0.68 eV per formula unit
Theoretical density ... 4809 kg/m3



Entry 9:
Compound: Tc2AgTe
Source: the Alexandria database
Functional: PBE-GGA
Structure: optimized geometry

abc: 4.619 4.619 4.619
angles: 60.00 60.00 60.00
Fractional positions:
Tc 0.000 0.000 0.000
Tc 0.250 0.250 0.250
Ag 0.500 0.500 0.500
Te 0.750 0.750 0.750

Theoretical density ... 10283 kg/m3
ΔE_f (raw) ... 679 meV per atom



Entry 10:
Compound: NaSrAu2
Source: the Alexandria database
Functional: PBE-GGA
Structure: optimized geometry

abc: 3.804 3.804 6.890
angles: 90.00 90.00 90.00
Fractional positions:
Na 0.500 0.500 0.000
Au 0.000 0.000 0.222
Au 0.000 0.000 0.778
Sr 0.500 0.500 0.500

Energy relative to the elements ... -549.3 meV/atom
Excess energy over the best structure of this formula in the dataset ... 0.07 eV per formula unit
Theoretical density ... 8404 kg/m3



Entry 11:
Compound: CsSr2Ge
Source: the Alexandria database
Functional: PBE-GGA
Structure: optimized geometry

abc: 10.347 10.347 8.343
angles: 51.68 51.68 90.00
Fractional positions:
Cs 0.000 0.000 0.000
Cs 0.750 0.250 0.500
Ge 0.250 0.750 0.500
Ge 0.500 0.500 0.000
Sr 0.875 0.758 0.750
Sr 0.508 0.125 0.250
Sr 0.242 0.625 0.250
Sr 0.375 0.492 0.750

Energy relative to the elements ... -29.3 meV/atom
Theoretical density ... 2945 kg/m3



Entry 12:
Compound: Ac2ThO
Source: the Alexandria database
Functional: PBE-GGA
Structure: optimized geometry

abc: 3.712 3.712 10.646
angles: 79.96 79.96 60.00
Fractional positions:
Ac 0.117 0.117 0.650
Ac 0.883 0.883 0.350
O 0.500 0.500 0.500
Th 0.000 0.000 0.000

Theoretical density ... 9370 kg/m3
ΔE_f (raw) ... -885 meV per atom



Ordered volume results: 240.1 107.8 532.2 91.2 369.2 162.1 45.5 40.0 69.7 99.7 429.4 124.4; unit Å³/cell.
Ordered calculated total energy results: -103.44 -21.21 -46.75 -32.13 -13.78 -109.64 -20.33 -28.16 -24.01 -11.75 -17.90 -24.14; unit eV for the cell shown.